This record from Alexandria via LeMat-Bulk describes Nd4DyEr3 after structural relaxation. The functional is PBE-GGA.

The structure in extended XYZ format:
```
16
Lattice="6.299 0.000 0.000 0.000 7.320 0.000 0.000 0.000 11.549" Properties=species:S:1:pos:R:3 pbc="T T T"
Nd 0.900 6.382 0.000
Nd 4.088 0.948 0.000
Nd 6.189 0.937 2.912
Nd 3.040 6.383 2.863
Nd 0.938 6.373 5.775
Nd 4.050 0.938 5.775
Nd 3.040 6.383 8.686
Nd 6.189 0.937 8.638
Dy 0.939 2.768 0.000
Dy 4.089 4.552 5.775
Er 4.078 4.534 0.000
Er 6.180 4.541 2.884
Er 3.030 2.779 2.890
Er 0.928 2.786 5.775
Er 3.030 2.779 8.659
Er 6.180 4.541 8.665
```

final energy	-4.6422	eV per atom
space-group type	Pmn2_1


This record from Alexandria via LeMat-Bulk describes Nd2DyEr after structural relaxation. The functional is PBE-GGA.

The structure in extended XYZ format:
```
4
Lattice="5.733 0.000 0.000 2.867 4.965 0.000 2.867 1.655 4.681" Properties=species:S:1:pos:R:3 pbc="T T T"
Dy 0.000 0.000 0.000
Nd 2.867 1.655 1.170
Nd 8.600 4.965 3.511
Er 5.733 3.310 2.341
```

final energy	-4.5641	eV per atom
space-group type	Fm-3m


This record from Alexandria via LeMat-Bulk describes Nd5Dy2Er2 after structural relaxation. The functional is PBE-GGA.

The structure in extended XYZ format:
```
9
Lattice="5.627 -0.776 -2.639 -3.215 5.147 1.553 -3.917 2.455 13.193" Properties=species:S:1:pos:R:3 pbc="T T T"
Nd -0.065 3.354 1.332
Nd -1.440 3.472 10.773
Nd -2.000 2.907 7.254
Nd 0.495 3.919 4.852
Nd 0.000 0.000 0.000
Dy -2.076 6.266 8.589
Dy 0.571 0.560 3.516
Er -4.575 5.256 10.989
Er 3.070 1.570 1.117
```

final energy	-4.6667	eV per atom
space-group type	C2/m


This record from Alexandria via LeMat-Bulk describes Nd12DyEr3 after structural relaxation. The functional is PBE-GGA.

The structure in extended XYZ format:
```
16
Lattice="5.148 0.000 0.000 0.000 5.148 0.000 0.000 0.000 20.533" Properties=species:S:1:pos:R:3 pbc="T T T"
Nd 2.574 2.574 0.000
Nd 2.574 2.574 5.139
Nd 2.574 2.574 10.266
Nd 2.574 2.574 15.394
Nd 2.574 0.000 2.575
Nd 2.574 0.000 7.701
Nd 2.574 0.000 12.832
Nd 2.574 0.000 17.958
Nd 0.000 2.574 2.575
Nd 0.000 2.574 7.701
Nd 0.000 2.574 12.832
Nd 0.000 2.574 17.958
Dy 0.000 0.000 0.000
Er 0.000 0.000 5.138
Er 0.000 0.000 10.266
Er 0.000 0.000 15.395
```

final energy	-4.7055	eV per atom
space-group type	P4/mmm


This record from Alexandria via LeMat-Bulk describes NdDy5Er3 after structural relaxation. The functional is PBE-GGA.

The structure in extended XYZ format:
```
18
Lattice="-7.682 3.908 3.500 -8.036 -3.975 2.484 -5.054 -1.285 11.723" Properties=species:S:1:pos:R:3 pbc="T T T"
Nd -18.461 -1.176 15.540
Nd -2.310 -0.176 2.167
Dy -12.289 1.301 7.077
Dy -7.922 -1.446 2.810
Dy -10.252 -0.134 4.609
Dy -9.149 -0.587 7.734
Dy -11.623 -0.765 9.973
Dy -10.520 -1.217 13.098
Dy -12.436 -1.963 6.656
Dy -7.795 1.379 3.174
Dy -8.482 -2.653 10.630
Dy -8.336 0.611 11.051
Er -14.391 -0.924 12.167
Er -14.781 -0.490 8.945
Er 0.000 0.000 0.000
Er -2.527 -0.643 5.861
Er -6.381 -0.428 5.540
Er -5.990 -0.861 8.762
```

final energy	-4.1823	eV per atom
space-group type	C2/m


This record from Alexandria via LeMat-Bulk describes Nd7Dy3Er after structural relaxation. The functional is PBE-GGA.

The structure in extended XYZ format:
```
11
Lattice="-2.384 3.419 -4.201 -4.168 -7.486 0.445 -3.874 1.416 7.523" Properties=species:S:1:pos:R:3 pbc="T T T"
Nd -2.189 -0.551 0.784
Nd -3.121 1.763 3.210
Nd -7.135 0.744 4.658
Nd -3.291 -3.395 -0.891
Nd -4.021 -3.035 3.984
Nd -7.306 -4.414 0.557
Nd -8.237 -2.100 2.983
Dy -4.108 -5.662 1.895
Dy -1.192 1.709 -2.100
Dy -3.934 -0.408 6.073
Er -5.213 -1.325 1.884
```

final energy	-4.4746	eV per atom
space-group type	C2/m


This record from Alexandria via LeMat-Bulk describes Nd2Dy2Er3 after structural relaxation. The functional is PBE-GGA.

The structure in extended XYZ format:
```
14
Lattice="7.940 0.000 -2.807 -3.970 6.876 -2.807 0.000 0.000 8.421" Properties=species:S:1:pos:R:3 pbc="T T T"
Nd 0.000 0.000 6.850
Nd 0.741 5.593 0.524
Nd -1.244 4.721 3.331
Nd 0.503 3.438 -2.283
Dy 0.000 0.000 3.502
Dy 2.319 2.859 1.640
Dy 4.304 0.579 -1.167
Dy 5.287 3.438 -3.974
Er 2.540 5.157 3.902
Er 5.399 1.719 1.713
Er -0.774 2.097 1.095
Er 2.759 1.340 4.520
Er -1.766 6.497 -1.713
Er 3.751 3.816 -1.095
```

final energy	-4.4101	eV per atom
space-group type	I2_13


This record from Alexandria via LeMat-Bulk describes Nd2Dy5Er after structural relaxation. The functional is PBE-GGA.

The structure in extended XYZ format:
```
16
Lattice="-5.248 7.477 -3.772 -5.576 -3.246 1.324 6.699 2.240 8.067" Properties=species:S:1:pos:R:3 pbc="T T T"
Nd 2.123 1.683 6.710
Nd -3.230 3.714 5.529
Nd -6.248 4.788 -1.091
Nd -0.895 2.756 0.091
Dy 0.282 3.997 5.197
Dy -9.118 4.598 -2.554
Dy -1.706 -0.367 0.107
Dy -4.142 5.929 2.329
Dy 0.017 0.542 3.291
Dy -0.446 6.258 2.319
Dy -3.679 0.213 3.301
Dy -4.407 2.474 0.423
Dy -1.560 1.026 6.538
Dy -2.565 5.445 -0.919
Er 3.350 1.120 4.034
Er -2.062 3.235 2.810
```

final energy	-4.4800	eV per atom
space-group type	C2/c


This record from Alexandria via LeMat-Bulk describes Nd15Dy4Er after structural relaxation. The functional is PBE-GGA.

The structure in extended XYZ format:
```
20
Lattice="-1.585 -2.751 4.076 -3.277 -2.603 -3.031 18.248 -17.488 -4.708" Properties=species:S:1:pos:R:3 pbc="T T T"
Nd -2.431 -2.677 0.523
Nd 1.213 -6.170 -0.417
Nd 4.867 -9.671 -1.360
Nd 8.519 -13.171 -2.302
Nd 12.173 -16.673 -3.245
Nd 1.026 -3.119 1.569
Nd 4.679 -6.619 0.627
Nd 8.332 -10.120 -0.316
Nd 11.984 -13.620 -1.258
Nd 15.637 -17.121 -2.200
Nd 0.181 -3.045 -1.985
Nd 3.833 -6.545 -2.927
Nd 7.486 -10.046 -3.869
Nd 11.138 -13.546 -4.812
Nd 14.791 -17.046 -5.754
Dy 3.645 -3.493 -0.940
Dy 7.298 -6.994 -1.883
Dy 10.950 -10.494 -2.825
Dy 14.603 -13.995 -3.767
Er 0.000 0.000 0.000
```

final energy	-4.7130	eV per atom
space-group type	P4/mmm


This record from Alexandria via LeMat-Bulk describes Nd12DyEr7 after structural relaxation. The functional is PBE-GGA.

The structure in extended XYZ format:
```
20
Lattice="9.415 -0.151 -0.227 -2.763 9.002 -0.227 -2.763 -3.677 8.220" Properties=species:S:1:pos:R:3 pbc="T T T"
Nd 4.725 0.536 4.855
Nd 4.688 2.499 1.569
Nd 2.866 -0.663 2.326
Nd 5.323 4.017 4.499
Nd 1.097 -0.554 5.401
Nd 2.378 1.753 7.482
Nd 1.510 3.421 0.283
Nd 2.791 5.727 2.364
Nd -1.434 1.157 3.266
Nd 1.022 5.837 5.440
Nd -0.799 2.675 6.196
Nd -0.837 4.638 2.910
Dy 0.000 0.000 0.000
Er -3.651 2.471 7.983
Er 0.500 -3.280 7.293
Er -3.289 6.897 2.411
Er 1.944 2.587 3.883
Er 7.178 -1.723 5.355
Er 3.388 8.453 0.472
Er 7.540 2.703 -0.217
```

final energy	-4.5381	eV per atom
space-group type	R-3


This record from Alexandria via LeMat-Bulk describes Nd4Dy3Er3 after structural relaxation. The functional is PBE-GGA.

The structure in extended XYZ format:
```
10
Lattice="-2.928 -2.437 -0.100 1.272 -1.899 9.017 -5.815 6.893 2.284" Properties=species:S:1:pos:R:3 pbc="T T T"
Nd -1.343 1.345 6.533
Nd -3.199 3.648 4.769
Nd -3.948 4.340 9.815
Nd -0.598 0.658 1.483
Dy 0.633 -0.946 4.519
Dy -1.631 1.542 10.151
Dy -6.088 4.196 3.366
Er -1.385 -1.638 7.834
Er -2.970 0.437 3.700
Er -4.499 2.117 7.503
```

final energy	-4.5534	eV per atom
space-group type	Amm2


This record from Alexandria via LeMat-Bulk describes Nd5DyEr4 after structural relaxation. The functional is PBE-GGA.

The structure in extended XYZ format:
```
10
Lattice="3.585 0.000 0.000 0.000 10.397 1.430 -1.792 -0.241 9.100" Properties=species:S:1:pos:R:3 pbc="T T T"
Nd 1.792 6.068 6.515
Nd 1.792 2.204 6.843
Nd 0.000 7.952 3.686
Nd 1.792 5.199 0.715
Nd 0.000 4.089 4.014
Dy 1.792 0.000 0.000
Er 0.000 9.355 7.089
Er 1.792 7.726 9.357
Er 1.792 0.802 3.441
Er 0.000 2.430 1.172
```

final energy	-4.5251	eV per atom
space-group type	C2/m


Number 1: total moment 0.04 μB per formula unit, DFT formation energy 0.028 eV/atom. Number 2: total moment 0.00 μB per formula unit, DFT formation energy 0.111 eV/atom. Number 3: total moment 0.00 μB per formula unit, DFT formation energy 0.019 eV/atom. Number 4: total moment 0.00 μB per formula unit, DFT formation energy 0.014 eV/atom. Number 5: total moment 0.00 μB per formula unit, DFT formation energy 0.425 eV/atom. Number 6: total moment 0.00 μB per formula unit, DFT formation energy 0.229 eV/atom. Number 7: total moment 0.00 μB per formula unit, DFT formation energy 0.223 eV/atom. Number 8: total moment 0.00 μB per formula unit, DFT formation energy 0.159 eV/atom. Number 9: total moment 0.00 μB per formula unit, DFT formation energy 0.011 eV/atom. Number 10: total moment 0.00 μB per formula unit, DFT formation energy 0.150 eV/atom. Number 11: total moment 0.00 μB per formula unit, DFT formation energy 0.103 eV/atom. Number 12: total moment 0.01 μB per formula unit, DFT formation energy 0.144 eV/atom.